(1)
PrCuGe2Pd: optimized geometry, PBE.

- Uncorrected energy: -52.46 eV for the cell shown

Unit cell a=4.2605 b=4.2605 c=10.3774 alpha=90.00 beta=90.00 gamma=90.00
Positions (direct):
Pd1 0.5000 0.0000 0.3644
Pd2 0.0000 0.5000 0.6356
Ge1 0.5000 0.0000 0.1245
Ge2 0.0000 0.5000 0.8755
Ge3 0.0000 0.0000 0.5000
Ge4 0.5000 0.5000 0.5000
Cu1 0.5000 0.5000 0.0000
Cu2 0.0000 0.0000 0.0000
Pr1 0.5000 0.0000 0.7626
Pr2 0.0000 0.5000 0.2374

***

(2)
HoSc2P3: optimized geometry, PBE.

- Uncorrected energy: -42.58 eV for the cell shown

Unit cell a=3.8361 b=3.8361 c=9.3634 alpha=90.00 beta=90.00 gamma=120.00
Positions (direct):
Sc1 0.6667 0.3333 0.1608
Sc2 0.3333 0.6667 0.8392
P1 0.3333 0.6667 0.3207
P2 0.6667 0.3333 0.6793
P3 0.0000 0.0000 0.0000
Ho1 0.0000 0.0000 0.5000

***

(3)
TbS2O6: optimized geometry, PBE.

- Uncorrected energy: -117.41 eV for the cell shown

Unit cell a=4.9284 b=8.8837 c=6.3180 alpha=90.00 beta=103.88 gamma=90.00
Site moments in Bohr magnetons follow the coordinates.
Positions (direct):
O1 0.2856 0.0448 0.2727  0.06
O2 0.2457 0.3179 0.2987  0.09
O3 0.2856 0.4552 0.7727  0.06
O4 0.1677 0.6708 0.3510  0.09
O5 0.8323 0.1708 0.1490  0.09
O6 0.7144 0.9552 0.7273  0.06
O7 0.1677 0.8292 0.8510  0.09
O8 0.2457 0.1821 0.7987  0.09
O9 0.7144 0.5448 0.2273  0.06
O10 0.7543 0.6821 0.7013  0.09
O11 0.8323 0.3292 0.6490  0.09
O12 0.7543 0.8179 0.2013  0.09
S1 0.8969 0.6695 0.1754  0.11
S2 0.1031 0.1695 0.3246  0.11
S3 0.1031 0.3305 0.8246  0.11
S4 0.8969 0.8305 0.6754  0.11
Tb1 0.5000 0.5000 0.5000  0.03
Tb2 0.5000 0.0000 0.0000  0.03

***

(4)
AlCoMo4C2: optimized geometry, PBE.

- Uncorrected energy: -72.59 eV for the cell shown

Unit cell a=3.0395 b=3.0395 c=13.0005 alpha=90.00 beta=90.00 gamma=120.00
Site moments in Bohr magnetons follow the coordinates.
Positions (direct):
Mo1 0.0000 0.0000 0.3504  0.00
Mo2 0.0000 0.0000 0.6496  0.00
Mo3 0.6667 0.3333 0.1691  0.01
Mo4 0.6667 0.3333 0.8309  0.01
Co1 0.6667 0.3333 0.5000  -0.62
Al1 0.0000 0.0000 0.0000  0.00
C1 0.3333 0.6667 0.2591  0.00
C2 0.3333 0.6667 0.7409  0.00